The following is a PBE calculation of an optimized crystal structure of Tb3Sm9Dy2, from Alexandria.

The structure in extended XYZ format:
```
28
Lattice="9.060 0.000 0.000 -4.530 7.846 0.000 0.000 0.000 13.758" Properties=species:S:1:pos:R:3 pbc="T T T"
Tb -0.399 1.977 3.439
Tb -2.618 7.203 3.439
Tb 1.513 1.334 10.318
Tb 3.017 6.512 3.439
Tb 7.148 0.643 10.318
Tb 4.929 5.869 10.318
Sm -1.436 3.782 10.318
Sm -2.081 5.676 7.444
Sm -2.081 5.676 13.192
Sm 0.655 3.205 7.444
Sm 0.655 3.205 13.192
Sm -0.536 7.199 10.318
Sm 3.103 1.036 0.565
Sm 3.103 1.036 6.314
Sm 2.557 3.135 3.439
Sm 1.973 4.711 10.318
Sm 1.426 6.810 7.444
Sm 1.426 6.810 13.192
Sm 5.066 0.647 3.439
Sm 3.875 4.640 0.565
Sm 3.875 4.640 6.314
Sm 6.611 2.170 0.565
Sm 6.611 2.170 6.314
Sm 5.966 4.064 3.439
Dy 0.000 5.231 1.952
Dy 0.000 5.231 4.927
Dy 4.530 2.615 8.830
Dy 4.530 2.615 11.806
```

Computed properties:
volume = 34.9 Å³/atom
energy of formation = 240 meV per atom


The following is a PBE calculation of an optimized crystal structure of BePRh2, from Alexandria.

The structure in extended XYZ format:
```
4
Lattice="3.678 -1.444 0.000 3.678 1.444 0.000 -1.019 0.000 4.704" Properties=species:S:1:pos:R:3 pbc="T T T"
Be 0.000 0.000 0.000
P 3.168 0.000 2.352
Rh 1.093 0.000 3.523
Rh 5.244 0.000 1.181
```

Computed properties:
volume = 12.5 Å³/atom
energy above the most stable polymorph in this dataset = 182 meV per atom
energy of formation = -384 meV per atom


The following is a PBE calculation of an optimized crystal structure of LaNiSe, from Alexandria.

The structure in extended XYZ format:
```
3
Lattice="4.131 0.000 0.000 -2.065 3.577 0.000 0.000 0.000 4.186" Properties=species:S:1:pos:R:3 pbc="T T T"
La 0.000 0.000 0.000
Ni 0.000 2.385 2.087
Se 2.065 1.192 2.093
```

Computed properties:
volume = 20.6 Å³/atom
energy above the most stable polymorph in this dataset = 0 meV per atom


The following is a PBE calculation of an optimized crystal structure of TaNb3H, from Alexandria.

The structure in extended XYZ format:
```
5
Lattice="4.253 0.000 0.000 0.000 4.253 0.000 0.000 0.000 4.253" Properties=species:S:1:pos:R:3 pbc="T T T"
Ta 0.000 0.000 0.000
Nb 0.000 2.126 2.126
Nb 2.126 0.000 2.126
Nb 2.126 2.126 0.000
H 2.126 2.126 2.126
```

Computed properties:
volume = 15.4 Å³/atom
energy above the most stable polymorph in this dataset = 236 meV per atom